No. 1
Entry from Alexandria via LeMat-Bulk: crystalline TaAgBr2 at its relaxed geometry (PBE-GGA).

Summary:
space-group type: I-4m2
uncorrected formation energy: 297 kJ/mol of formula units
total magnetic moment: 3.03 μB per formula unit
energy above the lowest structure with this stoichiometry: 854 meV/atom
E_tot: -29.94 eV per cell

Cell lengths 3.925, 3.925, 12.361 Å; angles 90.00, 90.00, 90.00 degrees
Fractional positions:
Ta1 0.000 0.000 0.000
Ta2 0.500 0.500 0.500
Ag1 0.000 0.500 0.750
Ag2 0.500 0.000 0.250
Br1 0.000 0.000 0.500
Br2 0.000 0.500 0.250
Br3 0.500 0.000 0.750
Br4 0.500 0.500 0.000

=====

No. 2
Entry from Alexandria via LeMat-Bulk: crystalline NaBiAu at its relaxed geometry (PBE-GGA).

Summary:
space-group type: P-1
DFT formation energy: -218 meV per atom
total magnetic moment: 0.00 μB per formula unit
energy above the lowest structure with this stoichiometry: 70 meV/atom
E_tot: -18.26 eV per cell

Cell lengths 4.610, 5.710, 6.997 Å; angles 97.61, 91.13, 113.70 degrees
Fractional positions:
Na1 0.150 0.289 0.141
Na2 0.850 0.711 0.859
Bi1 0.119 0.259 0.632
Bi2 0.881 0.741 0.368
Au1 0.442 0.876 0.162
Au2 0.558 0.124 0.838

=====

No. 3
Entry from Alexandria via LeMat-Bulk: crystalline Cr2CdSn at its relaxed geometry (PBE-GGA).

Summary:
space-group type: I-42d
DFT formation energy: 754 meV per atom
total magnetic moment: 7.55 μB per formula unit
E_tot: -84.60 eV per cell

Cell lengths 7.502, 7.502, 6.053 Å; angles 90.00, 90.00, 90.00 degrees
Fractional positions:
Cr1 0.243 0.250 0.125
Cr2 0.250 0.743 0.375
Cr3 0.250 0.757 0.875
Cr4 0.257 0.250 0.625
Cr5 0.743 0.750 0.625
Cr6 0.750 0.243 0.875
Cr7 0.750 0.257 0.375
Cr8 0.757 0.750 0.125
Cd1 0.000 0.000 0.500
Cd2 0.000 0.500 0.750
Cd3 0.500 0.000 0.250
Cd4 0.500 0.500 0.000
Sn1 0.000 0.000 0.000
Sn2 0.000 0.500 0.250
Sn3 0.500 0.000 0.750
Sn4 0.500 0.500 0.500